Cs2HoTeO6: relaxed, PBE.

Geometry as CIF:
```
data_Cs2HoTeO6
_symmetry_space_group_name_H-M 'P 1'
_symmetry_Int_Tables_number 1
_cell_length_a 6.863
_cell_length_b 6.863
_cell_length_c 5.870
_cell_angle_alpha 90.00
_cell_angle_beta 90.00
_cell_angle_gamma 120.00
loop_
_symmetry_equiv_pos_as_xyz
'x,y,z'
loop_
_atom_site_label
_atom_site_type_symbol
_atom_site_fract_x
_atom_site_fract_y
_atom_site_fract_z
_atom_site_occupancy
Cs1 Cs 0.333 0.667 0.369 1
Cs2 Cs 0.667 0.333 0.631 1
Ho1 Ho 0.000 0.000 0.000 1
Te1 Te 0.000 0.000 0.500 1
O1 O 0.129 0.259 0.708 1
O2 O 0.129 0.871 0.708 1
O3 O 0.259 0.129 0.292 1
O4 O 0.741 0.871 0.708 1
O5 O 0.871 0.129 0.292 1
O6 O 0.871 0.741 0.292 1
```

Results
**Symmetry**: P-3m1

SnGeTe2I: relaxed, PBE.

Geometry as CIF:
```
data_SnGeTe2I
_symmetry_space_group_name_H-M 'P 1'
_symmetry_Int_Tables_number 1
_cell_length_a 5.480
_cell_length_b 5.480
_cell_length_c 5.641
_cell_angle_alpha 90.00
_cell_angle_beta 90.00
_cell_angle_gamma 90.00
loop_
_symmetry_equiv_pos_as_xyz
'x,y,z'
loop_
_atom_site_label
_atom_site_type_symbol
_atom_site_fract_x
_atom_site_fract_y
_atom_site_fract_z
_atom_site_occupancy
Sn1 Sn 0.000 0.000 0.000 1
Ge1 Ge 0.500 0.500 0.500 1
Te1 Te 0.000 0.500 0.500 1
Te2 Te 0.500 0.000 0.500 1
I1 I 0.500 0.500 0.000 1
```

Results
**Energy relative to the lowest polymorph listed for this composition**: 0.000 eV/atom
**Symmetry**: P4/mmm

SrBr: relaxed, PBE.

Geometry as CIF:
```
data_SrBr
_symmetry_space_group_name_H-M 'P 1'
_symmetry_Int_Tables_number 1
_cell_length_a 6.052
_cell_length_b 6.052
_cell_length_c 6.052
_cell_angle_alpha 60.00
_cell_angle_beta 60.00
_cell_angle_gamma 60.00
loop_
_symmetry_equiv_pos_as_xyz
'x,y,z'
loop_
_atom_site_label
_atom_site_type_symbol
_atom_site_fract_x
_atom_site_fract_y
_atom_site_fract_z
_atom_site_occupancy
Sr1 Sr 0.125 0.125 0.125 1
Sr2 Sr 0.875 0.875 0.875 1
Br1 Br 0.375 0.375 0.375 1
Br2 Br 0.625 0.625 0.625 1
```

Results
**Symmetry**: Fd-3m

Sc2GaFeB: relaxed, PBE.

Geometry as CIF:
```
data_Sc2GaFeB
_symmetry_space_group_name_H-M 'P 1'
_symmetry_Int_Tables_number 1
_cell_length_a 4.621
_cell_length_b 4.621
_cell_length_c 3.758
_cell_angle_alpha 90.00
_cell_angle_beta 90.00
_cell_angle_gamma 90.00
loop_
_symmetry_equiv_pos_as_xyz
'x,y,z'
loop_
_atom_site_label
_atom_site_type_symbol
_atom_site_fract_x
_atom_site_fract_y
_atom_site_fract_z
_atom_site_occupancy
Sc1 Sc 0.000 0.500 0.000 1
Sc2 Sc 0.500 0.000 0.000 1
Ga1 Ga 0.000 0.000 0.500 1
Fe1 Fe 0.500 0.500 0.500 1
B1 B 0.500 0.500 0.000 1
```

Results
**Energy of formation**: -0.353 eV per atom
**Symmetry**: P4/mmm

| no. | VASP energy (eV per atom) | total magnetization (Bohr magnetons per cell) |
| --- | --- | --- |
| 1 | -5.639 | 1.06 |
| 2 | -3.074 | 0.00 |
| 3 | -2.397 | 1.52 |
| 4 | -6.519 | 0.17 |